[1]
An optimized crystal structure of AgMoOs2, computed with PBE.

a b c (Å): 4.800 4.800 2.799
angles (deg): 90.00 90.00 108.48
Atoms (fractional coordinates):
1 Ag 0.500 0.000 0.500
2 Mo 0.000 0.500 0.500
3 Os 0.000 0.000 0.000
4 Os 0.500 0.500 0.000

## Properties
ΔE_f = 593 meV per atom
Relative energy among the computed polymorphs = 320 meV per atom
Space group = Cmmm, No. 65


[2]
An optimized crystal structure of AgMoOs, computed with PBE.

a b c (Å): 4.890 4.890 4.890
angles (deg): 146.92 131.96 59.57
Atoms (fractional coordinates):
1 Ag 0.999 0.999 0.000
2 Mo 0.676 0.676 0.000
3 Os 0.325 0.325 0.000

## Properties
ΔE_f = 451 meV per atom
Relative energy among the computed polymorphs = 141 meV per atom
Space group = Imm2, No. 44


[3]
An optimized crystal structure of AgMoOs2, computed with PBE.

a b c (Å): 5.758 5.758 5.758
angles (deg): 152.17 132.45 55.99
Atoms (fractional coordinates):
1 Ag 0.517 0.517 0.000
2 Mo 0.215 0.715 0.500
3 Os 0.988 0.988 0.000
4 Os 0.780 0.280 0.500

## Properties
ΔE_f = 591 meV per atom
Relative energy among the computed polymorphs = 318 meV per atom
Space group = Imm2, No. 44


[4]
An optimized crystal structure of AgMo2Os, computed with PBE.

a b c (Å): 2.801 3.990 5.672
angles (deg): 90.00 90.00 90.00
Atoms (fractional coordinates):
1 Ag 0.500 0.500 0.750
2 Mo 0.000 0.000 0.025
3 Mo 0.000 0.000 0.475
4 Os 0.500 0.500 0.250

## Properties
ΔE_f = 304 meV per atom
Relative energy among the computed polymorphs = 23 meV per atom
Space group = Pmmm, No. 47